Compound: WI2NO
Source: the Alexandria database
Functional: GGA+U
Structure: optimized geometry

The structure belongs to space group P4/mmm (No. 123); the cell edges are 5.7771, 5.7771 and 3.8892 Å and the angles 90.00°, 90.00° and 90.00°. Symmetry generates all atoms from W at (0.0000, 0.0000, 0.0000), I at (0.0000, 0.5000, 0.0000), N at (0.5000, 0.5000, 0.5000) and O at (0.0000, 0.0000, 0.5000).

The crystal system is tetragonal. The energy relative to the lowest polymorph listed for this composition comes out at 0 meV per atom. The value obtained for the spin magnetization is 1.0 Bohr magnetons per cell.